VASP calculation (SCAN) on a PBEsol-optimized structure of Au.

The structure in POSCAR format:
```
Au
1.0
2.853 0.000 0.000
-1.410 2.514 0.000
-0.039 -1.644 7.090
Au
3
Direct
0.000 0.000 0.000 Au
0.220 0.445 0.667 Au
0.780 0.555 0.333 Au
```

Summary:
formation enthalpy at 0 K	0.008	eV per atom
E above lowest polymorph	8	meV/atom